# CrInO2 | Alexandria | PBE+U | optimized geometry
# * ρ: 4.7 Mg/m³
# * total DFT energy (no corrections): -74.10 eV for the cell shown
# * magnetic moment: 3.1 μB/f.u.
# * DOS(E_F): 6.550 states/eV per cell
data_CrInO2
_cell_length_a 3.3230
_cell_length_b 3.3230
_cell_length_c 22.1426
_cell_angle_alpha 90.00
_cell_angle_beta 90.00
_cell_angle_gamma 120.00
_space_group_name_H-M_alt 'R 3 m'
_space_group_IT_number 160
_space_group_name_Hall 'R 3 -2"'
loop_
_atom_site_label
_atom_site_type_symbol
_atom_site_fract_x
_atom_site_fract_y
_atom_site_fract_z
_atom_site_occupancy
Cr1 Cr 0.0000 0.0000 0.0000 1
In1 In 0.0000 0.0000 0.4783 1
O1 O 0.0000 0.0000 0.0865 1
O2 O 0.0000 0.0000 0.6476 1